# AcPb2WO8 (GGA+U, optimized geometry)
data_AcPb2WO8
_chemical_formula_sum 'Ac1 Pb2 W1 O8'
_symmetry_space_group_name_H-M 'P 1 2/m 1'
_symmetry_Int_Tables_number 10
_cell_length_a 5.161
_cell_length_b 7.099
_cell_length_c 5.161
_cell_angle_alpha 90.00
_cell_angle_beta 90.99
_cell_angle_gamma 90.00
loop_
_symmetry_equiv_pos_as_xyz
'x,y,z'
'-x,-y,-z'
'-x,y,-z'
'x,-y,z'
loop_
_atom_site_label
_atom_site_fract_x
_atom_site_fract_y
_atom_site_fract_z
_atom_site_occupancy
Ac1 0.000 0.000 0.000 1
Pb1 0.500 0.260 0.500 1
W1 0.000 0.500 0.000 1
O1 0.183 0.300 0.182 1
O2 0.275 0.500 0.724 1
O3 0.322 0.000 0.675 1
# M_tot, μB per formula unit: 0.0
# Electronic total energy, eV/atom: -6.62